Here is CdCoMo2 at its PBEsol-relaxed geometry from Alexandria via LeMat-Bulk. Energies are from meta-GGA SCAN.

a b c (Å): 2.7307 2.7307 27.6609
angles (deg): 90.00 90.00 120.00
Space group R-3m (No. 166, hexagonal axes)
Inequivalent atoms, fractional coordinates:
Cd: 0.0000 0.0000 0.0000 (multiplicity 3)
Co: 0.0000 0.0000 0.5000 (multiplicity 3)
Mo: 0.0000 0.0000 0.2406 (multiplicity 6)

crystal system	trigonal
calculated formation energy	1.8	eV/f.u.
size of the total moment	0.34	μB per atom